## PrGa4Cu6 (GGA-PBE)

Data for crystalline PrGa4Cu6 at its relaxed geometry.

* E_tot: -4.019 eV/atom
* energy relative to the elements: -0.2493 eV per atom

Cell lengths 4.0976, 6.9415, 6.9415 Å; angles 120.00, 90.00, 90.00 degrees
Sites, in units of the cell vectors:
Cu1 0.0000 0.9194 0.4597
Cu2 0.0000 0.5403 0.0806
Cu3 0.5000 0.2104 0.7896
Ga1 0.5000 0.3953 0.1976
Ga2 0.0000 0.3333 0.6667
Cu4 0.5000 0.5791 0.7896
Cu5 0.5000 0.2104 0.4209
Pr1 0.0000 0.0000 0.0000
Cu6 0.0000 0.5403 0.4597
Ga3 0.5000 0.8024 0.1976
Ga4 0.5000 0.8024 0.6047